Entry 1:
DFT (PBE) results for a relaxed structure of Li8Cu3Ag2.

Density of states at the Fermi level: 0.3667 states/eV per atom
Magnetic moment: 0.0 Bohr magnetons per cell
Energy of formation: -0.057 eV per atom

Structure (POSCAR):
```
Li8Cu3Ag2
1.0
4.7074 0.0000 0.0000
0.0000 4.3390 0.0000
-0.7319 0.0000 9.7492
Li Cu Ag
8 3 2
Direct
0.0648 0.0000 0.1204
0.2431 0.5000 0.5815
0.2602 0.5000 0.2260
0.3364 0.0000 0.7419
0.6636 0.0000 0.2581
0.7398 0.5000 0.7740
0.7569 0.5000 0.4185
0.9352 0.0000 0.8796
0.2464 0.5000 0.9494
0.5000 0.0000 0.0000
0.7536 0.5000 0.0506
0.2264 0.0000 0.4121
0.7736 0.0000 0.5879
```

***

Entry 2:
DFT (PBE) results for a relaxed structure of Li5Cu2Ag4.

Density of states at the Fermi level: 0.3490 states/eV per atom
Magnetic moment: 0.0 Bohr magnetons per cell
Energy of formation: -0.094 eV per atom

Structure (POSCAR):
```
Li5Cu2Ag4
1.0
7.0827 0.0000 0.0000
0.0000 2.8216 0.0000
-0.5883 0.0000 8.9104
Li Cu Ag
5 2 4
Direct
0.0000 0.0000 0.0000
0.0683 0.0000 0.3224
0.3385 0.0000 0.8504
0.6615 0.0000 0.1496
0.9317 0.0000 0.6776
0.4347 0.0000 0.3687
0.5653 0.0000 0.6313
0.2333 0.5000 0.5741
0.3110 0.5000 0.1225
0.6890 0.5000 0.8775
0.7667 0.5000 0.4259
```